No. 1
## Y3TlCo (PBE)

Data for Y3TlCo after structural relaxation.

Unit cell a=6.059 b=6.059 c=8.747 alpha=111.42 beta=111.42 gamma=64.85
Fractional positions:
Y  0.020  0.020  0.211
Y  0.305  0.305  0.686
Y  0.316  0.316  0.128
Y  0.684  0.684  0.872
Y  0.695  0.695  0.314
Y  0.980  0.980  0.789
Tl  0.271  0.729  0.500
Tl  0.729  0.271  0.500
Co  0.319  0.681  0.000
Co  0.681  0.319  0.000

Computed properties:
Symmetry: No. 12
E_form in eV per atom: -0.22

=====

No. 2
## YTlCo2 (PBE)

Data for YTlCo2 after structural relaxation.

Unit cell a=4.725 b=4.725 c=4.725 alpha=60.00 beta=60.00 gamma=60.00
Fractional positions:
Y  0.000  0.000  0.000
Tl  0.750  0.750  0.750
Co  0.250  0.250  0.250
Co  0.500  0.500  0.500

Computed properties:
Excess energy over the best structure of this formula in the dataset in meV/atom: 362
Symmetry: No. 216
E_form in eV per atom: 0.34

=====

Electronic total energy in eV per atom, matching the order above: -5.989 -5.424